A geometry-optimized YMnSbO2 structure, computed with GGA-PBEsol.

## Properties
- Raw formation energy: -492 meV/atom
- Spin magnetization: 3.2 μB/f.u.
- Crystal system: tetragonal

Cell: 3.9450 3.9450 5.5479 Å, 90.00 90.00 90.00°
Fractional positions:
Y 0.0000 0.0000 0.0000
Mn 0.0000 0.0000 0.5000
Sb 0.5000 0.5000 0.0000
O 0.0000 0.5000 0.5000
O 0.5000 0.0000 0.5000